# 1
PBE Pm5Er3H12, optimized geometry; Fermi-level density of states = 47.33 states/eV per cell; space-group type = Ia-3d, No. 230; E_tot = -345.522 eV/cell
1.0
-6.644 6.644 6.644
6.644 -6.644 6.644
6.644 6.644 -6.644
Pm Er H
20 12 48
Cartesian
0.000 0.000 0.000
3.322 3.322 -3.322
3.322 -3.322 3.322
6.644 0.000 0.000
9.966 1.661 0.000
6.644 -3.322 4.983
4.983 6.644 -3.322
4.983 0.000 3.322
3.322 4.983 0.000
6.644 3.322 1.661
-3.322 3.322 3.322
0.000 6.644 0.000
0.000 0.000 6.644
3.322 3.322 3.322
0.000 3.322 4.983
3.322 1.661 6.644
1.661 6.644 3.322
1.661 0.000 9.966
0.000 9.966 1.661
-3.322 4.983 6.644
3.322 1.661 0.000
6.644 3.322 -1.661
1.661 0.000 3.322
8.305 0.000 3.322
0.000 3.322 1.661
3.322 -1.661 6.644
3.322 8.305 0.000
6.644 3.322 4.983
-1.661 6.644 3.322
4.983 6.644 3.322
0.000 3.322 8.305
3.322 4.983 6.644
8.748 -0.029 0.927
7.862 -2.395 3.293
2.104 0.029 0.927
7.862 4.249 -3.293
6.673 -0.927 2.104
9.937 -1.218 2.395
4.249 3.293 -1.218
5.717 2.104 -0.029
0.927 2.104 0.029
9.039 3.351 -1.218
0.029 0.927 2.104
3.293 -1.218 4.249
6.673 5.717 -2.104
3.293 1.218 2.395
2.395 3.293 1.218
7.571 4.540 -0.029
4.249 -3.293 7.862
5.717 -2.104 6.673
3.293 7.862 -2.395
6.673 0.927 4.540
1.218 2.395 3.293
2.104 -0.029 5.717
2.104 6.673 -0.927
7.862 2.395 3.351
-1.218 4.249 3.293
4.540 -0.029 7.571
4.540 6.673 0.927
5.426 4.249 3.351
-0.029 5.717 2.104
3.351 -1.218 9.039
0.927 8.748 -0.029
2.395 9.937 -1.218
-0.927 2.104 6.673
4.249 3.351 5.426
3.351 5.426 4.249
-0.029 0.927 8.748
3.351 7.862 2.395
6.615 5.717 4.540
-2.395 3.293 7.862
5.717 4.540 6.615
0.927 4.540 6.673
2.395 3.351 7.862
-3.293 7.862 4.249
-0.029 7.571 4.540
-1.218 2.395 9.937
4.540 6.615 5.717
-1.218 9.039 3.351
-2.104 6.673 5.717

=====

# 2
PBE TbEr2Os, optimized geometry; energy relative to the elements = -0.15 eV/atom; Fermi-level density of states = 2.88 states/eV per cell; space-group type = P4/mmm, No. 123
1.0
3.379 0.000 0.000
0.000 3.379 0.000
0.000 0.000 9.136
Tb Er Os
1 2 1
Cartesian
0.000 0.000 0.000
1.689 1.689 2.925
1.689 1.689 6.212
0.000 0.000 4.568

=====

# 3
PBE LiInGaSe2, optimized geometry; Fermi-level density of states = 3.68 states/eV per cell; energy relative to the elements, uncorrected = -60 meV per atom; space-group type = P4/mmm, No. 123
1.0
4.994 0.000 0.000
0.000 4.994 0.000
0.000 0.000 5.167
Li In Ga Se
1 1 1 2
Cartesian
0.000 0.000 0.000
0.000 0.000 2.584
2.497 2.497 2.584
0.000 2.497 0.000
2.497 0.000 0.000

=====

# 4
PBE RbHgSe2N, optimized geometry; Fermi-level density of states = 13.77 states/eV per cell; energy relative to the elements, uncorrected = 1745 meV per atom; space-group type = P4/mmm, No. 123
1.0
6.622 0.000 0.000
0.000 6.622 0.000
0.000 0.000 4.859
Rb Hg Se N
1 1 2 1
Cartesian
0.000 0.000 0.000
3.311 3.311 2.430
0.000 3.311 0.000
3.311 0.000 0.000
0.000 0.000 2.430

=====

# 5
PBE PrHo5Cd6, optimized geometry; energy relative to the elements = -0.31 eV/atom; Fermi-level density of states = 14.04 states/eV per cell; space-group type = Cmmm, No. 65
1.0
2.641 -7.960 0.000
2.641 7.960 0.000
0.000 0.000 7.560
Pr Ho Cd
1 5 6
Cartesian
0.000 0.000 0.000
0.000 0.000 3.780
2.641 2.679 0.000
2.641 2.611 3.780
2.641 -2.611 3.780
2.641 -2.679 0.000
2.641 5.246 1.943
2.641 5.246 5.617
2.641 0.000 1.943
2.641 0.000 5.617
2.641 -5.246 1.943
2.641 -5.246 5.617

=====

# 6
PBE Cs3BCl6, optimized geometry; Fermi-level density of states = 0.00 states/eV per cell; energy relative to the elements, uncorrected = -1558 meV per atom; space-group type = Cmc2_1, No. 36
1.0
7.028 -7.569 0.000
7.028 7.569 0.000
0.000 0.000 8.163
Cs B Cl
6 2 12
Cartesian
7.028 6.447 4.081
4.233 1.601 4.859
4.233 -1.601 0.777
9.823 1.601 4.859
9.823 -1.601 0.777
7.028 -6.447 0.000
7.028 2.704 1.460
7.028 -2.704 5.542
2.374 0.604 2.356
5.506 3.635 2.031
2.374 -0.604 6.437
7.028 2.544 7.778
8.549 3.635 2.031
7.028 1.003 2.256
7.028 -1.003 6.338
5.506 -3.635 6.112
7.028 -2.544 3.697
11.682 0.604 2.356
8.549 -3.635 6.112
11.682 -0.604 6.437

=====

# 7
PBE CeLuMgIr, optimized geometry; energy relative to the elements = -0.37 eV/atom; Fermi-level density of states = 5.63 states/eV per cell; space-group type = F-43m, No. 216
1.0
0.000 3.547 3.547
3.547 0.000 3.547
3.547 3.547 0.000
Ce Lu Mg Ir
1 1 1 1
Cartesian
0.000 0.000 0.000
3.547 3.547 3.547
1.774 1.774 1.774
5.321 5.321 5.321

=====

# 8
PBE La2SmPb, optimized geometry; energy relative to the elements = -0.33 eV/atom; Fermi-level density of states = 11.34 states/eV per cell; space-group type = Imma, No. 74
1.0
-3.481 4.469 4.230
3.481 -4.469 4.230
3.481 4.469 -4.230
La Sm Pb
4 2 2
Cartesian
1.741 4.881 -2.115
1.741 0.411 2.115
-1.741 4.058 2.115
1.741 4.058 2.115
3.481 2.235 -0.569
0.000 2.235 4.799
3.481 -2.235 3.853
0.000 6.704 0.377

=====

# 9
PBE AcNd2Tl, optimized geometry; energy relative to the elements = -0.09 eV/atom; Fermi-level density of states = 5.61 states/eV per cell; space-group type = R3m, No. 160
1.0
1.938 1.119 11.177
-1.938 1.119 11.177
0.000 -2.238 11.177
Ac Nd Tl
1 2 1
Cartesian
0.000 0.000 0.000
0.000 0.000 8.046
0.000 0.000 14.289
0.000 0.000 27.943

=====

# 10
PBE LiCdIn2Hg5, optimized geometry; energy relative to the elements = -0.05 eV/atom; Fermi-level density of states = 6.19 states/eV per cell; space-group type = Cmc2_1, No. 36
1.0
2.052 -8.648 0.000
2.052 8.648 0.000
0.000 0.000 12.743
Li Cd In Hg
2 2 4 10
Cartesian
2.052 7.074 6.371
2.052 -7.074 0.000
2.052 3.619 1.031
2.052 -3.619 7.402
2.052 2.855 9.596
2.052 1.258 5.118
2.052 -1.258 11.489
2.052 -2.855 3.225
2.052 8.079 3.796
2.052 6.587 0.890
2.052 5.976 9.442
2.052 4.405 5.207
2.052 0.440 1.524
2.052 -0.440 7.896
2.052 -4.405 11.578
2.052 -5.976 3.071
2.052 -6.587 7.262
2.052 -8.079 10.168

=====

# 11
PBE PbCO4, optimized geometry; Fermi-level density of states = 4.22 states/eV per cell; energy relative to the elements, uncorrected = -863 meV per atom; space-group type = P2_1/m, No. 11
1.0
5.802 0.000 0.000
0.000 5.594 0.000
-2.169 0.000 5.435
Pb C O
2 2 8
Cartesian
0.363 1.399 2.057
3.270 4.196 3.378
1.269 4.196 0.943
2.363 1.399 4.493
-1.085 0.000 2.718
-1.085 2.797 2.718
0.252 4.196 0.202
1.837 3.097 1.399
1.837 5.295 1.399
1.795 0.299 4.037
1.795 2.498 4.037
3.380 1.399 5.233

=====

# 12
PBE TbCe2Dy, optimized geometry; energy relative to the elements = 0.11 eV/atom; Fermi-level density of states = 10.36 states/eV per cell; space-group type = P4/mmm, No. 123
1.0
3.467 0.000 0.000
0.000 3.467 0.000
0.000 0.000 10.136
Tb Ce Dy
1 2 1
Cartesian
0.000 0.000 0.000
1.734 1.734 2.539
1.734 1.734 7.597
0.000 0.000 5.068

=====

# 13
PBE BaSeCl2, optimized geometry; energy relative to the elements, uncorrected = -1480 meV per atom; space-group type = Pm, No. 6
1.0
4.692 0.000 0.000
0.000 5.695 0.000
-1.114 0.000 4.915
Ba Se Cl
1 1 2
Cartesian
0.000 0.000 0.000
2.935 2.848 0.584
1.085 0.000 2.846
2.978 2.848 3.490

=====

# 14
PBE Zr2HBr2, optimized geometry; Fermi-level density of states = 2.33 states/eV per cell; space-group type = C2/m, No. 12; E_tot = -56.771 eV/cell
1.0
10.251 -1.774 0.000
10.251 1.774 0.000
-1.058 0.000 5.872
Zr H Br
4 2 4
Cartesian
3.326 0.000 2.652
6.363 0.000 0.280
13.082 0.000 5.591
16.118 0.000 3.219
5.384 0.000 2.227
14.061 0.000 3.644
1.110 0.000 4.269
7.512 0.000 4.531
11.933 0.000 1.341
18.335 0.000 1.603

=====

# 15
PBE PmTaIO4, optimized geometry; energy relative to the elements, uncorrected = -2591 meV per atom; space-group type = C2/m, No. 12
1.0
6.664 -3.253 0.000
6.664 3.253 0.000
-1.988 0.000 6.655
Pm Ta I O
2 2 2 8
Cartesian
2.119 0.000 2.113
9.221 0.000 4.543
0.076 0.000 4.676
11.264 0.000 1.979
4.522 0.000 5.319
6.818 0.000 1.336
-0.192 0.000 2.305
3.518 1.786 2.514
0.171 0.000 6.527
7.822 1.786 4.141
3.518 -1.786 2.514
11.169 0.000 0.128
7.822 -1.786 4.141
11.532 0.000 4.350

=====

# 16
PBE Pu2BiPt, optimized geometry; energy relative to the elements = -0.41 eV/atom; Fermi-level density of states = 18.86 states/eV per cell; space-group type = Fm-3m, No. 225
1.0
0.000 3.708 3.708
3.708 0.000 3.708
3.708 3.708 0.000
Pu Bi Pt
2 1 1
Cartesian
1.854 1.854 1.854
5.562 5.562 5.562
0.000 0.000 0.000
3.708 3.708 3.708

=====

# 17
PBE Rb5As2I, optimized geometry; Fermi-level density of states = 12.18 states/eV per cell; energy relative to the elements, uncorrected = -601 meV per atom; space-group type = I4/mcm, No. 140
1.0
-4.564 4.564 8.578
4.564 -4.564 8.578
4.564 4.564 -8.578
Rb As I
10 4 2
Cartesian
0.000 0.000 0.000
6.206 1.642 -2.181
1.642 2.921 -2.181
6.206 1.642 2.181
1.642 2.921 2.181
0.000 0.000 8.578
2.921 1.642 6.397
-1.642 2.921 6.397
2.921 1.642 10.759
-1.642 2.921 10.759
3.632 0.932 0.000
3.632 -0.932 8.578
0.932 5.496 0.000
0.932 3.632 8.578
0.000 0.000 4.289
0.000 0.000 12.868

=====

# 18
PBE Dy2TmTh2, optimized geometry; energy relative to the elements = 0.32 eV/atom; Fermi-level density of states = 15.24 states/eV per cell; space-group type = C2/c, No. 15
1.0
4.568 -6.691 0.000
4.568 6.691 0.000
-2.507 0.000 5.437
Dy Tm Th
4 2 4
Cartesian
0.749 0.935 1.983
-0.505 -0.935 4.701
7.134 0.935 0.735
5.881 -0.935 3.453
3.941 0.847 1.359
2.688 -0.847 4.077
3.941 4.246 1.359
2.688 2.711 4.077
3.941 -2.711 1.359
2.688 -4.246 4.077

=====

# 19
PBE SiNiTe2, optimized geometry; Fermi-level density of states = 0.73 states/eV per cell; energy relative to the elements, uncorrected = 59 meV per atom; space-group type = I-42d, No. 122
1.0
-2.957 2.957 5.926
2.957 -2.957 5.926
2.957 2.957 -5.926
Si Ni Te
2 2 4
Cartesian
0.000 0.000 0.000
0.000 2.957 2.963
2.957 0.000 2.963
0.000 0.000 5.926
1.479 -1.319 4.445
1.639 1.479 1.482
1.479 4.276 -1.482
1.319 1.479 7.408

=====

# 20
PBE Mn6Mo, optimized geometry; energy relative to the elements = 1.40 eV/atom; Fermi-level density of states = 12.03 states/eV per cell; space-group type = Im-3m, No. 229
1.0
-2.962 2.962 2.962
2.962 -2.962 2.962
2.962 2.962 -2.962
Mn Mo
6 1
Cartesian
2.962 1.481 0.000
2.962 0.000 1.481
1.481 2.962 0.000
1.481 0.000 2.962
0.000 2.962 1.481
0.000 1.481 2.962
0.000 0.000 0.000